1.
The following is a DFT calculation (GGA-PBE) of an optimized crystal structure of LaTeAu2.

## Properties
E	-0.1609	Ha/atom
ΔE_f (raw)	-722	meV/atom

Cell: 5.5912 5.5912 5.5912 Å, 130.35 130.35 72.85°
With the nearest neighbours (Å) after each atom.
Element x y z (fractional)
La: 0.0000 0.0000 0.0000  8 Au 3.25, 4 Te 3.32
Te: 0.5000 0.5000 0.0000  8 Au 3.25, 4 La 3.32
Au: 0.2500 0.7500 0.5000  4 Te 3.25, 4 La 3.25, 4 Au 3.32
Au: 0.7500 0.2500 0.5000  4 Te 3.25, 4 La 3.25, 4 Au 3.32


2.
The following is a DFT calculation (GGA-PBE) of an optimized crystal structure of Rb2SbCI6.

## Properties
E	-0.0973	Ha/atom
ΔE_f (raw)	-189	meV/atom

Cell: 8.1368 8.1368 8.1368 Å, 119.85 119.85 90.27°
With the nearest neighbours (Å) after each atom.
Element x y z (fractional)
Rb: 0.2500 0.7500 0.5000  12 I 4.07-4.08
Rb: 0.7500 0.2500 0.5000  12 I 4.07-4.08
Sb: 0.0000 0.0000 0.0000  6 I 3.04-3.05
C: 0.5000 0.5000 0.0000  6 I 2.70-2.72
I: 0.2644 0.2644 0.5287  1 C 2.72
I: 0.2644 0.7356 0.0000  1 C 2.72
I: 0.2652 0.2652 0.0000  1 C 2.70
I: 0.7348 0.7348 0.0000  1 C 2.70
I: 0.7356 0.2644 0.0000  1 C 2.72
I: 0.7356 0.7356 0.4713  1 C 2.72


Question: What is the E in the first record?
Answer: -0.1609 Ha/atom